[1]
! ScNi2Br | Alexandria via LeMat-Bulk | PBE | relaxed; values from VASP
! E_form (uncorrected): 0.1677 eV/atom
! distance to the lowest polymorph of the same formula: 551 meV per atom
&SYSTEM
  ibrav = 0, nat = 16, ntyp = 3
/
ATOMIC_SPECIES
Sc 44.96 Sc.upf
Ni 58.69 Ni.upf
Br 79.90 Br.upf
CELL_PARAMETERS angstrom
6.3431 0.0000 0.0000
0.0000 6.3431 0.0000
0.0000 0.0000 6.3431
ATOMIC_POSITIONS crystal
Sc 0.0000 0.0000 0.0000
Sc 0.0000 0.5000 0.5000
Sc 0.5000 0.0000 0.5000
Sc 0.5000 0.5000 0.0000
Ni 0.2500 0.2500 0.2500
Ni 0.2500 0.2500 0.7500
Ni 0.2500 0.7500 0.2500
Ni 0.2500 0.7500 0.7500
Ni 0.7500 0.2500 0.2500
Ni 0.7500 0.2500 0.7500
Ni 0.7500 0.7500 0.2500
Ni 0.7500 0.7500 0.7500
Br 0.0000 0.0000 0.5000
Br 0.0000 0.5000 0.0000
Br 0.5000 0.0000 0.0000
Br 0.5000 0.5000 0.5000

[2]
! Nd6Pt2S | Alexandria via LeMat-Bulk | PBE | relaxed; values from VASP
! E_form (uncorrected): -0.9468 eV/atom
&SYSTEM
  ibrav = 0, nat = 18, ntyp = 3
/
ATOMIC_SPECIES
Nd 144.24 Nd.upf
Pt 195.08 Pt.upf
S 32.06 S.upf
CELL_PARAMETERS angstrom
6.7585 0.0000 0.0000
0.0000 7.4523 0.0000
-6.2740 0.0000 10.4626
ATOMIC_POSITIONS crystal
Nd 0.0920 0.1859 0.4284
Nd 0.0920 0.3141 0.9284
Nd 0.2543 0.6705 0.4286
Nd 0.2543 0.8295 0.9286
Nd 0.4008 0.0404 0.2470
Nd 0.4008 0.4596 0.7470
Nd 0.5992 0.5404 0.2530
Nd 0.5992 0.9596 0.7530
Nd 0.7457 0.1705 0.0714
Nd 0.7457 0.3295 0.5714
Nd 0.9080 0.6859 0.0716
Nd 0.9080 0.8141 0.5716
Pt 0.1756 0.1161 0.7369
Pt 0.1756 0.3839 0.2369
Pt 0.8244 0.6161 0.7631
Pt 0.8244 0.8839 0.2631
S 0.5000 0.0000 0.5000
S 0.5000 0.5000 0.0000

[3]
! Rb2TlZnSb2 | Alexandria via LeMat-Bulk | PBE | relaxed; values from VASP
! E_form (uncorrected): -0.3132 eV/atom
&SYSTEM
  ibrav = 0, nat = 12, ntyp = 4
/
ATOMIC_SPECIES
Rb 85.47 Rb.upf
Tl 204.38 Tl.upf
Zn 65.41 Zn.upf
Sb 121.76 Sb.upf
CELL_PARAMETERS angstrom
-3.6365 8.2971 3.5813
3.6365 -8.2971 3.5813
3.6365 8.2971 -3.5813
ATOMIC_POSITIONS crystal
Rb 0.1680 0.2393 0.4073
Rb 0.3320 0.7393 0.0713
Rb 0.6680 0.2607 0.9287
Rb 0.8320 0.7607 0.5927
Tl 0.2500 0.2500 0.0000
Tl 0.7500 0.7500 0.0000
Zn 0.2500 0.7500 0.5000
Zn 0.7500 0.2500 0.5000
Sb 0.0950 0.7146 0.8095
Sb 0.4050 0.2146 0.6196
Sb 0.5950 0.7854 0.3804
Sb 0.9050 0.2854 0.1905

[4]
! PmEr5Tm3 | Alexandria via LeMat-Bulk | PBE | relaxed; values from VASP
! formation enthalpy at 0 K: 1.2 eV per formula unit
! distance to the lowest polymorph of the same formula: 0 meV per atom
&SYSTEM
  ibrav = 0, nat = 18, ntyp = 3
/
ATOMIC_SPECIES
Pm 145.00 Pm.upf
Er 167.26 Er.upf
Tm 168.93 Tm.upf
CELL_PARAMETERS angstrom
-3.5686 8.6036 4.5732
3.5686 -8.6036 4.5732
3.5686 8.6036 -4.5732
ATOMIC_POSITIONS crystal
Pm 0.2978 0.0478 0.2500
Pm 0.7022 0.9522 0.7500
Er 0.1562 0.3180 0.3336
Er 0.1562 0.8226 0.8382
Er 0.3398 0.5898 0.7500
Er 0.4844 0.3180 0.6618
Er 0.4844 0.8226 0.1664
Er 0.5156 0.1774 0.8336
Er 0.5156 0.6820 0.3382
Er 0.6602 0.4102 0.2500
Er 0.8438 0.1774 0.1618
Er 0.8438 0.6820 0.6664
Tm 0.0000 0.0000 0.5000
Tm 0.0000 0.5000 0.0000
Tm 0.1820 0.7478 0.4343
Tm 0.1865 0.2522 0.9343
Tm 0.8135 0.7478 0.0657
Tm 0.8180 0.2522 0.5657

[5]
! TeIrSe | Alexandria via LeMat-Bulk | PBE | relaxed; values from VASP
! E_form (uncorrected): 0.0113 eV/atom
! distance to the lowest polymorph of the same formula: 249 meV per atom
&SYSTEM
  ibrav = 0, nat = 12, ntyp = 3
/
ATOMIC_SPECIES
Te 127.60 Te.upf
Ir 192.22 Ir.upf
Se 78.96 Se.upf
CELL_PARAMETERS angstrom
6.4012 0.0000 0.0000
0.0000 6.4012 0.0000
0.0000 0.0000 6.4012
ATOMIC_POSITIONS crystal
Te 0.0000 0.0000 0.0000
Te 0.0000 0.5000 0.5000
Te 0.5000 0.0000 0.5000
Te 0.5000 0.5000 0.0000
Ir 0.2500 0.2500 0.2500
Ir 0.2500 0.7500 0.7500
Ir 0.7500 0.2500 0.7500
Ir 0.7500 0.7500 0.2500
Se 0.0000 0.0000 0.5000
Se 0.0000 0.5000 0.0000
Se 0.5000 0.0000 0.0000
Se 0.5000 0.5000 0.5000

[6]
! Na4CaCd5 | Alexandria via LeMat-Bulk | PBE | relaxed; values from VASP
! formation enthalpy at 0 K: -1.2 eV per formula unit
&SYSTEM
  ibrav = 0, nat = 10, ntyp = 3
/
ATOMIC_SPECIES
Na 22.99 Na.upf
Ca 40.08 Ca.upf
Cd 112.41 Cd.upf
CELL_PARAMETERS angstrom
3.8487 0.0000 0.0000
0.0000 3.8487 0.0000
0.0000 0.0000 18.0191
ATOMIC_POSITIONS crystal
Na 0.0000 0.0000 0.0981
Na 0.0000 0.0000 0.2953
Na 0.0000 0.0000 0.7047
Na 0.0000 0.0000 0.9019
Ca 0.0000 0.0000 0.5000
Cd 0.5000 0.5000 0.0000
Cd 0.5000 0.5000 0.1972
Cd 0.5000 0.5000 0.3922
Cd 0.5000 0.5000 0.6078
Cd 0.5000 0.5000 0.8028